The following is a DFT calculation (GGA-PBE) of a geometry-optimized Cs2NaTlCl6 structure.

uncorrected energy: -3.13 eV per atom
SG: Fm-3m
V: 320 Å³ per cell
Fermi-level density of states: 0.000 states/eV per atom

a = 7.681 Å, b = 7.681 Å, c = 7.681 Å
α = 60.00°, β = 60.00°, γ = 60.00°
Sites, in units of the cell vectors:
1 Cs 0.250 0.250 0.250
2 Cs 0.750 0.750 0.750
3 Na 0.000 0.000 0.000
4 Tl 0.500 0.500 0.500
5 Cl 0.258 0.742 0.742
6 Cl 0.742 0.258 0.742
7 Cl 0.258 0.742 0.258
8 Cl 0.258 0.258 0.742
9 Cl 0.742 0.742 0.258
10 Cl 0.742 0.258 0.258



The following is a DFT calculation (GGA-PBE) of a geometry-optimized Sr2ScP3Pt12 structure.

SG: R-3m
E_form: -0.44 eV/atom
V: 366 Å³ per cell
Fermi-level density of states: 0.260 states/eV per atom

a = 7.753 Å, b = 7.753 Å, c = 7.753 Å
α = 65.08°, β = 65.08°, γ = 65.08°
Sites, in units of the cell vectors:
1 Sr 0.604 0.604 0.604
2 Sr 0.396 0.396 0.396
3 Sc 0.000 0.000 0.000
4 P 0.500 0.000 0.000
5 P 0.000 0.500 0.000
6 P 0.000 0.000 0.500
7 Pt 0.336 0.336 0.904
8 Pt 0.872 0.872 0.380
9 Pt 0.380 0.872 0.872
10 Pt 0.904 0.336 0.336
11 Pt 0.872 0.380 0.872
12 Pt 0.336 0.904 0.336
13 Pt 0.664 0.664 0.096
14 Pt 0.128 0.128 0.620
15 Pt 0.620 0.128 0.128
16 Pt 0.096 0.664 0.664
17 Pt 0.128 0.620 0.128
18 Pt 0.664 0.096 0.664



The following is a DFT calculation (GGA-PBE) of a geometry-optimized K2HgW structure.

SG: I-42d
E_form: 1.33 eV/atom
V: 372 Å³ per cell
Fermi-level density of states: 0.571 states/eV per atom

a = 11.630 Å, b = 11.630 Å, c = 8.672 Å
α = 47.89°, β = 47.89°, γ = 90.00°
Each line ends with the local moment (μB).
Sites, in units of the cell vectors:
1 K 0.754 0.125 0.250  0.00
2 K 0.996 0.625 0.250  0.00
3 K 0.375 0.246 0.750  0.00
4 K 0.875 0.004 0.750  0.00
5 Hg 0.000 0.000 0.000  0.05
6 Hg 0.750 0.250 0.500  0.05
7 W 0.500 0.500 0.000  2.94
8 W 0.250 0.750 0.500  2.94